InSnHgBr6 after structural relaxation. Source: the Alexandria database, functional PBE.

a = 7.0642 Å, b = 7.0642 Å, c = 8.7621 Å
α = 90.00°, β = 90.00°, γ = 120.00°
Space group P312 (No. 149)
Inequivalent atoms, fractional coordinates:
In 0.0000 0.0000 0.0000
Sn 0.6667 0.3333 0.0000
Hg 0.3333 0.6667 0.5000
Br 0.3218 0.0165 0.1827

For the uncorrected energy, the calculation gives -2.507 eV/atom. For the spin magnetization, the calculation gives 0.00 μB per formula unit.